Entry from the Alexandria database: a relaxed structure of Ca2HPdRh (GGA-PBE).

The structure in CIF format:
```
data_Ca2HPdRh
_chemical_formula_sum 'Ca2 H1 Pd1 Rh1'
_symmetry_space_group_name_H-M 'P 1'
_symmetry_Int_Tables_number 1
_symmetry_space_group_name_Hall 'P 1'
_cell_length_a 4.912
_cell_length_b 4.912
_cell_length_c 3.604
_cell_angle_alpha 90.00
_cell_angle_beta 90.00
_cell_angle_gamma 90.00
loop_
_atom_site_label
_atom_site_fract_x
_atom_site_fract_y
_atom_site_fract_z
Pd1 0.500 0.500 0.500
Ca1 0.500 0.000 0.000
Ca2 0.000 0.500 0.000
H1 0.000 0.000 0.000
Rh1 0.000 0.000 0.500
```

- distance to the lowest polymorph of the same formula (eV/atom) = 0.0000
- volume (Å³/f.u.) = 87.0
- total magnetic moment (μB/f.u.) = 0.000
- E_tot (eV/cell) = -22.662